(1)
DFT (PBE-GGA) results for CrCuIr after structural relaxation.

Summary:
Crystal system ... tetragonal
Formation energy from the elements ... 0.082 eV/atom
Offset from the most stable computed form ... 89 meV/atom

a = 2.7296 Å, b = 2.7296 Å, c = 10.4380 Å
α = 90.00°, β = 90.00°, γ = 90.00°
Space group I4mm (No. 107)
Symmetry-distinct sites (fractional):
1 Cr 0.0000 0.0000 0.0000 (multiplicity 2)
2 Cu 0.0000 0.0000 0.6660 (multiplicity 2)
3 Ir 0.0000 0.0000 0.3448 (multiplicity 2)



(2)
DFT (PBE-GGA) results for CrCuIr3 after structural relaxation.

Summary:
Crystal system ... cubic
Formation energy from the elements ... 1.377 eV/atom
Offset from the most stable computed form ... 0 meV/atom

a = 4.4602 Å, b = 4.4602 Å, c = 4.4602 Å
α = 90.00°, β = 90.00°, γ = 90.00°
Space group Pm-3m (No. 221)
Symmetry-distinct sites (fractional):
1 Cr 0.0000 0.0000 0.0000 (multiplicity 1)
2 Cu 0.5000 0.5000 0.5000 (multiplicity 1)
3 Ir 0.0000 0.0000 0.5000 (multiplicity 3)



(3)
DFT (PBE-GGA) results for CrCuIr2 after structural relaxation.

Summary:
Crystal system ... orthorhombic
Formation energy from the elements ... 0.310 eV/atom

a = 2.7214 Å, b = 4.5207 Å, c = 8.9587 Å
α = 90.00°, β = 90.00°, γ = 90.00°
Space group Cmm2 (No. 35)
Symmetry-distinct sites (fractional):
1 Cr 0.0000 0.0000 0.0000 (multiplicity 2)
2 Cu 0.0000 0.5000 0.2403 (multiplicity 2)
3 Ir 0.0000 0.0000 0.4912 (multiplicity 2)
4 Ir 0.0000 0.5000 0.7645 (multiplicity 2)



(4)
DFT (PBE-GGA) results for CrCuIr2 after structural relaxation.

Summary:
Crystal system ... monoclinic
Formation energy from the elements ... 0.058 eV/atom

a = 8.9001 Å, b = 2.7268 Å, c = 4.5243 Å
α = 90.00°, β = 100.63°, γ = 90.00°
Space group Cm (No. 8)
Symmetry-distinct sites (fractional):
1 Cr 0.0000 0.0000 0.0000 (multiplicity 2)
2 Cu 0.2561 0.5000 0.2665 (multiplicity 2)
3 Ir 0.0071 0.5000 0.4929 (multiplicity 2)
4 Ir 0.2524 0.0000 0.7765 (multiplicity 2)



(5)
DFT (PBE-GGA) results for CrCuIr after structural relaxation.

Summary:
Crystal system ... cubic
Formation energy from the elements ... 0.394 eV/atom
Offset from the most stable computed form ... 401 meV/atom

a = 5.6579 Å, b = 5.6579 Å, c = 5.6579 Å
α = 90.00°, β = 90.00°, γ = 90.00°
Space group F-43m (No. 216)
Symmetry-distinct sites (fractional):
1 Cr 0.0000 0.0000 0.0000 (multiplicity 4)
2 Cu 0.2500 0.2500 0.2500 (multiplicity 4)
3 Ir 0.2500 0.2500 0.7500 (multiplicity 4)



(6)
DFT (PBE-GGA) results for CrCuIr2 after structural relaxation.

Summary:
Crystal system ... tetragonal
Formation energy from the elements ... 0.033 eV/atom

a = 3.7055 Å, b = 3.7055 Å, c = 7.8392 Å
α = 90.00°, β = 90.00°, γ = 90.00°
Space group I-4m2 (No. 119)
Symmetry-distinct sites (fractional):
1 Cr 0.0000 0.0000 0.0000 (multiplicity 2)
2 Cu 0.0000 0.5000 0.7500 (multiplicity 2)
3 Ir 0.0000 0.0000 0.5000 (multiplicity 2)
4 Ir 0.0000 0.5000 0.2500 (multiplicity 2)



(7)
DFT (PBE-GGA) results for CrCuIr2 after structural relaxation.

Summary:
Crystal system ... monoclinic
Formation energy from the elements ... -0.008 eV/atom

a = 8.6864 Å, b = 2.7323 Å, c = 4.6773 Å
α = 90.00°, β = 101.00°, γ = 90.00°
Space group C2/m (No. 12)
Symmetry-distinct sites (fractional):
1 Cr 0.0000 0.0000 0.0000 (multiplicity 2)
2 Cu 0.0000 0.5000 0.5000 (multiplicity 2)
3 Ir 0.2452 0.5000 0.2500 (multiplicity 4)



(8)
DFT (PBE-GGA) results for CrCuIr2 after structural relaxation.

Summary:
Crystal system ... trigonal
Formation energy from the elements ... -0.041 eV/atom

a = 2.7006 Å, b = 2.7006 Å, c = 25.5875 Å
α = 90.00°, β = 90.00°, γ = 120.00°
Space group R-3m (No. 166, hexagonal axes)
Symmetry-distinct sites (fractional):
1 Cr 0.0000 0.0000 0.0000 (multiplicity 3)
2 Cu 0.0000 0.0000 0.5000 (multiplicity 3)
3 Ir 0.0000 0.0000 0.2535 (multiplicity 6)



| no. | calculated density (g cm⁻³) | magnetization (μB/cell) |
| --- | --- | --- |
| 1 | 13.14 | 0.0 |
| 2 | 12.95 | 0.0 |
| 3 | 15.07 | 0.0 |
| 4 | 15.39 | 3.3 |
| 5 | 11.29 | 7.0 |
| 6 | 15.43 | 2.9 |
| 7 | 15.24 | 4.3 |
| 8 | 15.41 | 0.0 |